VASP calculation (PBE+U) on MgVI2O after structural relaxation. Values from VASP.

Computed properties:
As for the symmetry: P4/mmm (123). The relative energy among the computed polymorphs is 298 meV per atom. The calculation puts the calculated total energy at -18.755 eV for the cell shown.

```
&SYSTEM
  ibrav = 0, nat = 5, ntyp = 4
/
ATOMIC_SPECIES
I 126.90 I.upf
Mg 24.30 Mg.upf
O 16.00 O.upf
V 50.94 V.upf
CELL_PARAMETERS angstrom
5.789 0.000 0.000
0.000 5.789 0.000
0.000 0.000 3.773
ATOMIC_POSITIONS angstrom
I 0.000 2.894 0.000
I 2.894 0.000 0.000
Mg 0.000 0.000 0.000
O 0.000 0.000 1.886
V 2.894 2.894 1.886
```